This record from Alexandria describes a geometry-optimized RbCu2Pd structure. The functional is PBE-GGA.

Cell lengths 6.843, 6.843, 6.843 Å; angles 90.00, 90.00, 90.00 degrees
Space group Fm-3m (No. 225)
Unique sites:
Rb 0.000 0.000 0.000 [4 per cell]
Cu 0.250 0.250 0.250 [8 per cell]
Pd 0.000 0.000 0.500 [4 per cell]

Computed properties:
N(E_F) = 0.4209 states/eV per atom
formation energy from the elements = 2.84 eV/f.u.